Below is Rb2MnPF6 after structural relaxation, with properties calculated at the PBE+U level.

## Properties
Density   3.4 g cm⁻³
Fermi-level density of states   0.00 states/eV per cell
DFT total energy   -49.21 eV/cell
Crystal system   tetragonal

Lattice parameters (Å, degrees): 5.8519 5.8519 6.7155 64.17 64.17 90.00
Closest atoms and distances in Å follow each position.
Sites, in units of the cell vectors:
Mn (0.0000, 0.0000, 0.0000)  6 F 2.04-2.19
F (0.7353, 0.7353, 0.0000)  1 P 1.95
F (0.8069, 0.8069, 0.3862)  1 Mn 2.04
F (0.2647, 0.2647, 0.0000)  1 P 1.95
F (0.2647, 0.7353, 0.0000)  1 P 1.95
F (0.1931, 0.1931, 0.6138)  1 Mn 2.04
F (0.7353, 0.2647, 0.0000)  1 P 1.95
P (0.5000, 0.5000, 0.0000)  4 F 1.95
Rb (0.7500, 0.2500, 0.5000)  4 F 2.99
Rb (0.2500, 0.7500, 0.5000)  4 F 2.99